# CdAgPt5

A relaxed CdAgPt5 crystal (PBE, Alexandria via LeMat-Bulk).

a b c (Å): 5.355 7.976 6.250
angles (deg): 129.65 115.37 90.00
Atoms (fractional coordinates):
Pt: 0.092 0.786 0.000
Pt: 0.897 0.500 0.000
Pt: 0.092 0.214 0.000
Ag: 0.647 0.000 0.000
Cd: 0.397 0.500 0.000
Pt: 0.418 0.215 0.429
Pt: 0.988 0.785 0.571

Results
DOS at the Fermi energy (states/eV/f.u.): 8.81
Formation energy from the elements (eV/atom): 0.556


# Cd2AgPt2

A relaxed Cd2AgPt2 crystal (PBE, Alexandria via LeMat-Bulk).

a b c (Å): 2.948 8.025 8.025
angles (deg): 90.00 90.00 90.00
Atoms (fractional coordinates):
Pt: 0.500 0.132 0.368
Ag: 0.000 0.000 0.000
Cd: 0.000 0.164 0.664
Cd: 0.000 0.836 0.336
Pt: 0.500 0.868 0.632
Pt: 0.500 0.368 0.868
Cd: 0.000 0.664 0.836
Ag: 0.000 0.500 0.500
Pt: 0.500 0.632 0.132
Cd: 0.000 0.336 0.164

Results
DOS at the Fermi energy (states/eV/f.u.): 1.96
Formation energy from the elements (eV/atom): -0.107


# CdAgPt

A relaxed CdAgPt crystal (PBE, Alexandria via LeMat-Bulk).

a b c (Å): 6.663 4.690 2.959
angles (deg): 90.00 90.00 44.44
Atoms (fractional coordinates):
Pt: 0.000 0.000 0.500
Cd: 0.500 0.500 0.000
Ag: 0.000 0.500 0.000

Results
DOS at the Fermi energy (states/eV/f.u.): 0.82
Formation energy from the elements (eV/atom): -0.104


# CdAg2Pt

A relaxed CdAg2Pt crystal (PBE, Alexandria via LeMat-Bulk).

a b c (Å): 4.084 2.954 6.565
angles (deg): 63.40 90.00 90.00
Atoms (fractional coordinates):
Ag: 0.500 0.257 0.243
Pt: 0.500 0.755 0.746
Ag: 0.000 0.999 0.000
Cd: 0.000 0.489 0.512

Results
DOS at the Fermi energy (states/eV/f.u.): 1.18
Formation energy from the elements (eV/atom): -0.108